Entry from Alexandria via LeMat-Bulk: a relaxed structure of AlMo4W (PBE).

## Properties
density	10.5	g/cm³
energy of formation from the pure elements	-0.092	eV per atom
DFT total energy	-60.572	eV/f.u.
crystal system	monoclinic

Cell lengths 3.160, 5.211, 6.343 Å; angles 72.24, 90.04, 72.34 degrees
Fractional positions:
Al1 0.501 0.495 0.002
Mo1 0.174 0.148 0.835
Mo2 0.827 0.842 0.169
Mo3 0.169 0.159 0.339
Mo4 0.832 0.831 0.664
W1 0.501 0.495 0.502